# 1
First-principles (PBE-GGA) data for an optimized crystal structure of ErCo3P2, as listed in OQMD.

a b c (Å): 3.6666 10.4745 12.1271
angles (deg): 90.00 90.00 90.00
Space group Pmmn (No. 59, origin choice 2)
Inequivalent atoms, fractional coordinates:
Er (0.2500, 0.0675, 0.2058) x4
Er (0.2500, 0.2500, 0.4785) x2
Co (0.2500, 0.1286, 0.7108) x4
Co (0.2500, 0.2500, 0.0149) x2
Co (0.2500, 0.5480, 0.4305) x4
Co (0.2500, 0.5838, 0.9943) x4
Co (0.2500, 0.7500, 0.1575) x2
Co (0.2500, 0.7500, 0.7024) x2
P (0.2500, 0.0969, 0.8936) x4
P (0.2500, 0.5609, 0.6169) x4
P (0.2500, 0.7500, 0.3433) x2
P (0.2500, 0.7500, 0.8812) x2

---

# 2
First-principles (PBE-GGA) data for an optimized crystal structure of Er2CoPb2, as listed in OQMD.

a b c (Å): 10.9751 4.4341 11.0583
angles (deg): 90.00 116.65 90.00
Space group C2/m (No. 12)
Inequivalent atoms, fractional coordinates:
Er (0.0088, 0.0000, 0.1709) x4
Er (0.1855, 0.0000, 0.6317) x4
Co (0.2242, 0.5000, 0.8210) x4
Pb (0.0329, 0.5000, 0.3794) x4
Pb (0.1624, 0.5000, 0.0503) x4

---

# 3
First-principles (PBE-GGA) data for an optimized crystal structure of Er6Co2Pb, as listed in OQMD.

a b c (Å): 9.4500 9.5733 9.8835
angles (deg): 90.00 90.00 90.00
Space group Immm (No. 71)
Inequivalent atoms, fractional coordinates:
Er (0.0000, 0.2167, 0.2317) x8
Er (0.1954, 0.5000, 0.1844) x8
Er (0.2128, 0.3145, 0.5000) x8
Co (0.0000, 0.3797, 0.0000) x4
Co (0.0000, 0.5000, 0.3876) x4
Pb (0.0000, 0.0000, 0.0000) x2
Pb (0.0000, 0.0000, 0.5000) x2

---

Number 1: calculated total energy -254.30 eV for the cell shown. Number 2: calculated total energy -100.78 eV for the cell shown. Number 3: calculated total energy -191.98 eV for the cell shown.